Na2SrNiH6: relaxed, GGA-PBE.

Cell: 5.518 5.518 5.518 Å, 60.00 60.00 60.00°
Each line ends with the local moment (μB).
Sites, in units of the cell vectors:
H  0.209  0.791  0.209  0.01
H  0.209  0.209  0.791  0.01
H  0.791  0.791  0.209  0.01
H  0.209  0.791  0.791  0.01
H  0.791  0.209  0.791  0.01
H  0.791  0.209  0.209  0.01
Ni  0.000  0.000  0.000  0.48
Sr  0.500  0.500  0.500  0.09
Na  0.250  0.250  0.250  0.00
Na  0.750  0.750  0.750  0.00

- Space group: Fm-3m (225)
- Calculated volume: 11.9 A^3/atom
- E: -30.28 eV for the cell shown

=====

ErCuGeS3: relaxed, GGA-PBE.

Cell: 6.457 6.457 10.149 Å, 90.00 90.00 33.91°
Sites, in units of the cell vectors:
S  0.355  0.355  0.425
S  0.645  0.645  0.925
S  0.355  0.355  0.075
S  0.910  0.910  0.750
S  0.645  0.645  0.575
S  0.090  0.090  0.250
Ge  0.233  0.233  0.750
Ge  0.767  0.767  0.250
Cu  0.527  0.527  0.750
Cu  0.473  0.473  0.250
Er  0.000  0.000  0.500
Er  0.000  0.000  0.000

- Space group: Cmcm (63)
- Calculated volume: 19.7 A^3/atom
- E: -61.55 eV for the cell shown

=====

LaLuAgAu: relaxed, GGA-PBE.

Cell: 5.023 5.023 5.023 Å, 60.00 60.00 60.00°
Sites, in units of the cell vectors:
Lu  0.000  0.000  0.000
Ag  0.500  0.500  0.500
Au  0.750  0.750  0.750
La  0.250  0.250  0.250

- Space group: F-43m (216)
- Calculated volume: 22.4 A^3/atom
- E: -16.95 eV for the cell shown
- Energy relative to the elements: -0.3527 eV/atom